# SnI3 | the Alexandria database | PBE | relaxed
# * density: 4.21 Mg/m³
# * crystal system: orthorhombic
# * formation energy from raw total energies: -0.299 eV/atom
# * uncorrected energy: -2.462 eV/atom
# * spin magnetization: 0.0 μB per cell
data_SnI3
_chemical_formula_sum 'Sn1 I3'
_space_group_name_H-M_alt 'P 1'
_space_group_IT_number 1
_cell_length_a 7.7874
_cell_length_b 7.7874
_cell_length_c 7.7874
_cell_angle_alpha 151.06
_cell_angle_beta 68.63
_cell_angle_gamma 119.30
loop_
_space_group_symop_operation_xyz
'x,y,z'
loop_
_atom_site_label
_atom_site_type_symbol
_atom_site_fract_x
_atom_site_fract_y
_atom_site_fract_z
Sn1 Sn 0.0000 0.0000 0.0000
I1 I 0.3088 0.6498 0.6591
I2 I 0.6997 0.1997 0.5000
I3 I 0.9907 0.6498 0.3409